## Y2CuRu (GGA-PBE)

Data for an optimized crystal structure of Y2CuRu.

Cell: 11.0985 3.4009 4.7117 Å, 90.00 110.47 90.00°
Space group Cm (No. 8)
One atom of each set of equivalent atoms:
Y 0.0000 0.0000 0.0000 (multiplicity 2)
Y 0.2120 0.0000 0.6817 (multiplicity 2)
Cu 0.4377 0.0000 0.4410 (multiplicity 2)
Ru 0.2493 0.5000 0.2108 (multiplicity 2)

## Properties
crystal system: monoclinic

## Y2CuRu (GGA-PBE)

Data for an optimized crystal structure of Y2CuRu.

Cell: 3.6652 3.6652 23.2983 Å, 90.00 90.00 120.00°
Space group R-3m (No. 166, hexagonal axes)
One atom of each set of equivalent atoms:
Y 0.0000 0.0000 0.2459 (multiplicity 6)
Cu 0.0000 0.0000 0.0000 (multiplicity 3)
Ru 0.0000 0.0000 0.5000 (multiplicity 3)

## Properties
crystal system: trigonal

## YCuRu (GGA-PBE)

Data for an optimized crystal structure of YCuRu.

Cell: 4.3455 9.5417 5.2148 Å, 90.00 90.00 90.00°
Space group Cmcm (No. 63)
One atom of each set of equivalent atoms:
Y 0.0000 0.2075 0.2500 (multiplicity 4)
Cu 0.0000 0.0785 0.7500 (multiplicity 4)
Ru 0.0000 0.5000 0.0000 (multiplicity 4)

## Properties
crystal system: orthorhombic

## YCuRu (GGA-PBE)

Data for an optimized crystal structure of YCuRu.

Cell: 4.2581 4.2581 3.5921 Å, 90.00 90.00 120.00°
Space group P-6m2 (No. 187)
One atom of each set of equivalent atoms:
Y 0.0000 0.0000 0.0000 (multiplicity 1)
Cu 0.3333 0.6667 0.5000 (multiplicity 1)
Ru 0.6667 0.3333 0.5000 (multiplicity 1)

## Properties
crystal system: hexagonal

## YCuRu2 (GGA-PBE)

Data for an optimized crystal structure of YCuRu2.

Cell: 10.0117 3.1219 4.6502 Å, 90.00 114.42 90.00°
Space group Cm (No. 8)
One atom of each set of equivalent atoms:
Y 0.0000 0.0000 0.0000 (multiplicity 2)
Cu 0.2361 0.0000 0.8224 (multiplicity 2)
Ru 0.0010 0.5000 0.4828 (multiplicity 2)
Ru 0.2661 0.5000 0.3645 (multiplicity 2)

## Properties
crystal system: monoclinic

## YCuRu2 (GGA-PBE)

Data for an optimized crystal structure of YCuRu2.

Cell: 6.4051 6.4051 6.4051 Å, 90.00 90.00 90.00°
Space group Fm-3m (No. 225)
One atom of each set of equivalent atoms:
Y 0.0000 0.0000 0.0000 (multiplicity 4)
Cu 0.0000 0.0000 0.5000 (multiplicity 4)
Ru 0.2500 0.2500 0.2500 (multiplicity 8)

## Properties
crystal system: cubic

## YCu4Ru (GGA-PBE)

Data for an optimized crystal structure of YCu4Ru.

Cell: 7.0481 7.0481 7.0481 Å, 90.00 90.00 90.00°
Space group F-43m (No. 216)
One atom of each set of equivalent atoms:
Y 0.0000 0.0000 0.0000 (multiplicity 4)
Cu 0.1238 0.1238 0.6238 (multiplicity 16)
Ru 0.2500 0.2500 0.2500 (multiplicity 4)

## Properties
crystal system: cubic

## YCu2Ru (GGA-PBE)

Data for an optimized crystal structure of YCu2Ru.

Cell: 6.4063 6.4063 6.4063 Å, 90.00 90.00 90.00°
Space group F-43m (No. 216)
One atom of each set of equivalent atoms:
Y 0.0000 0.0000 0.0000 (multiplicity 4)
Cu 0.0000 0.0000 0.5000 (multiplicity 4)
Cu 0.2500 0.2500 0.7500 (multiplicity 4)
Ru 0.2500 0.2500 0.2500 (multiplicity 4)

## Properties
crystal system: cubic

Across the entries above, DFT total energy takes the values -53.654 -78.900 -81.971 -20.135 -57.048 -112.163 -130.047 -93.901 eV/cell, respectively.
Across the entries above, total magnetic moment takes the values 0.000 0.000 0.000 0.000 0.002 0.000 0.000 0.000 μB per atom, respectively.
Across the entries above, formation energy takes the values -0.1317 0.0000 -0.2189 -0.0997 0.1470 0.2678 -0.0645 0.1143 eV/atom, respectively.